1.
## La2Dy6ErTm3 (GGA-PBE)

Data for crystalline La2Dy6ErTm3 at its relaxed geometry.

a = 6.1706 Å, b = 10.6866 Å, c = 11.7993 Å
α = 90.00°, β = 100.03°, γ = 90.00°
Space group C2/m (No. 12)
Asymmetric unit:
La: 0.0000 0.1664 0.0000
Dy: 0.2460 0.5000 0.7443
Dy: 0.2484 0.1659 0.7445
Er: 0.0000 0.5000 0.0000
Tm: 0.0000 0.0000 0.5000
Tm: 0.0000 0.3337 0.5000

Output
DOS(E_F) in states/eV per atom: 1.398
Crystal system: monoclinic
ΔH_f (0 K) in eV per atom: 0.0257
M_tot in μB per formula unit: 0.0
Calculated density in g cm⁻³: 8.35

2.
## GaSn3 (GGA-PBE)

Data for crystalline GaSn3 at its relaxed geometry.

a = 3.3873 Å, b = 5.0866 Å, c = 6.0046 Å
α = 90.00°, β = 90.00°, γ = 90.00°
Space group Pmm2 (No. 25)
Asymmetric unit:
Ga: 0.0000 0.0000 0.0000
Sn: 0.0000 0.5000 0.3173
Sn: 0.5000 0.0000 0.5308
Sn: 0.5000 0.5000 0.8560

Output
DOS(E_F) in states/eV per atom: 0.476
Crystal system: orthorhombic
ΔH_f (0 K) in eV per atom: 0.0819
M_tot in μB per formula unit: 0.0
Calculated density in g cm⁻³: 6.83

3.
## SmDy2Zn2Si2 (GGA-PBE)

Data for crystalline SmDy2Zn2Si2 at its relaxed geometry.

a = 4.0815 Å, b = 4.0815 Å, c = 33.5437 Å
α = 90.00°, β = 90.00°, γ = 120.00°
Space group R-3m (No. 166, hexagonal axes)
Asymmetric unit:
Sm: 0.0000 0.0000 0.0000
Dy: 0.0000 0.0000 0.1225
Zn: 0.0000 0.0000 0.3952
Si: 0.0000 0.0000 0.2692

Output
Formation energy without anion corrections in eV/atom: -0.459
DOS(E_F) in states/eV per atom: 1.072
Crystal system: trigonal
M_tot in μB per formula unit: 0.0
Calculated density in g cm⁻³: 6.82

4.
## Ac2Be3GePt4 (GGA-PBE)

Data for crystalline Ac2Be3GePt4 at its relaxed geometry.

a = 4.2835 Å, b = 4.2835 Å, c = 9.9814 Å
α = 90.00°, β = 90.00°, γ = 90.00°
Space group P-4m2 (No. 115)
Asymmetric unit:
Ac: 0.0000 0.5000 0.2459
Be: 0.0000 0.5000 0.8919
Be: 0.5000 0.5000 0.5000
Ge: 0.0000 0.0000 0.5000
Pt: 0.0000 0.0000 0.0000
Pt: 0.0000 0.5000 0.6331
Pt: 0.5000 0.5000 0.0000

Output
DOS(E_F) in states/eV per atom: 0.706
Crystal system: tetragonal
ΔH_f (0 K) in eV per atom: -0.8136
M_tot in μB per formula unit: 0.0
Calculated density in g cm⁻³: 12.10

5.
## InCo2Pb (GGA-PBE)

Data for crystalline InCo2Pb at its relaxed geometry.

a = 12.1547 Å, b = 3.0141 Å, c = 4.2987 Å
α = 90.00°, β = 110.55°, γ = 90.00°
Space group Cm (No. 8)
Asymmetric unit:
In: 0.0000 0.0000 0.0000
Co: 0.1607 0.0000 0.6611
Co: 0.4934 0.0000 0.4934
Pb: 0.2717 0.5000 0.2721

Output
DOS(E_F) in states/eV per atom: 1.454
Distance to the lowest polymorph of the same formula in kJ/mol of formula units: 35
Crystal system: monoclinic
ΔH_f (0 K) in eV per atom: 0.3718
M_tot in μB per formula unit: 2.3
Calculated density in g cm⁻³: 9.91

6.
## Pa2CoPN5 (GGA-PBE)

Data for crystalline Pa2CoPN5 at its relaxed geometry.

a = 6.6875 Å, b = 6.6875 Å, c = 5.2176 Å
α = 90.00°, β = 90.00°, γ = 90.00°
Space group P4/mbm (No. 127)
Asymmetric unit:
Pa: 0.1854 0.3146 0.0000
Co: 0.0000 0.0000 0.5000
P: 0.0000 0.5000 0.5000
N: 0.0000 0.0000 0.0000
N: 0.1273 0.6273 0.2643

Output
Formation energy without anion corrections in eV/atom: -0.424
DOS(E_F) in states/eV per atom: 0.466
Crystal system: tetragonal
M_tot in μB per formula unit: 2.1
Calculated density in g cm⁻³: 8.85

What did the fourth record say?
## Ac2Be3GePt4 (GGA-PBE)

Data for crystalline Ac2Be3GePt4 at its relaxed geometry.

a = 4.2835 Å, b = 4.2835 Å, c = 9.9814 Å
α = 90.00°, β = 90.00°, γ = 90.00°
Space group P-4m2 (No. 115)
Asymmetric unit:
Ac: 0.0000 0.5000 0.2459
Be: 0.0000 0.5000 0.8919
Be: 0.5000 0.5000 0.5000
Ge: 0.0000 0.0000 0.5000
Pt: 0.0000 0.0000 0.0000
Pt: 0.0000 0.5000 0.6331
Pt: 0.5000 0.5000 0.0000

Output
DOS(E_F) in states/eV per atom: 0.706
Crystal system: tetragonal
ΔH_f (0 K) in eV per atom: -0.8136
M_tot in μB per formula unit: 0.0
Calculated density in g cm⁻³: 12.10

Number 2 is which compound? GaSn3

Which formula does entry 3 have? SmDy2Zn2Si2

Repeat the first record exactly.
## La2Dy6ErTm3 (GGA-PBE)

Data for crystalline La2Dy6ErTm3 at its relaxed geometry.

a = 6.1706 Å, b = 10.6866 Å, c = 11.7993 Å
α = 90.00°, β = 100.03°, γ = 90.00°
Space group C2/m (No. 12)
Asymmetric unit:
La: 0.0000 0.1664 0.0000
Dy: 0.2460 0.5000 0.7443
Dy: 0.2484 0.1659 0.7445
Er: 0.0000 0.5000 0.0000
Tm: 0.0000 0.0000 0.5000
Tm: 0.0000 0.3337 0.5000

Output
DOS(E_F) in states/eV per atom: 1.398
Crystal system: monoclinic
ΔH_f (0 K) in eV per atom: 0.0257
M_tot in μB per formula unit: 0.0
Calculated density in g cm⁻³: 8.35